The following is a PBE calculation of Tm4Hg3Pt after structural relaxation, from the Alexandria database.

```
Tm4Hg3Pt
1.0
3.594 0.000 0.000
0.000 3.594 0.000
0.000 0.000 14.657
Tm Hg Pt
4 3 1
Direct
0.000 0.000 0.110
0.000 0.000 0.370
0.000 0.000 0.630
0.000 0.000 0.890
0.500 0.500 0.246
0.500 0.500 0.500
0.500 0.500 0.754
0.500 0.500 0.000
```

Output
ΔH_f (0 K): -687 meV/atom
density of states at the Fermi level: 0.590 states/eV per atom
space group: P4/mmm (123)
VASP energy: -3.791 eV per atom

The following is a PBE calculation of TcAs2Ru after structural relaxation, from the Alexandria database.

```
TcAs2Ru
1.0
-2.793 2.793 5.349
2.793 -2.793 5.349
2.793 2.793 -5.349
Tc As Ru
2 4 2
Direct
0.000 0.000 0.000
0.750 0.250 0.500
0.128 0.625 0.003
0.375 0.378 0.503
0.622 0.125 0.997
0.875 0.872 0.497
0.250 0.750 0.500
0.500 0.500 0.000
```

Output
ΔH_f (0 K): 268 meV/atom
density of states at the Fermi level: 1.223 states/eV per atom
space group: I-42d (122)
energy above the lowest structure with this stoichiometry: 392 meV per atom
VASP energy: -6.967 eV per atom

The following is a PBE calculation of SrGaPH after structural relaxation, from the Alexandria database.

```
SrGaPH
1.0
4.299 0.000 0.000
-2.149 3.723 0.000
0.000 0.000 9.912
Sr Ga P H
2 2 2 2
Direct
0.333 0.667 0.000
0.667 0.333 0.500
0.000 0.000 0.263
0.000 0.000 0.763
0.333 0.667 0.305
0.667 0.333 0.805
0.000 0.000 0.087
0.000 0.000 0.587
```

Output
density of states at the Fermi level: 0.287 states/eV per atom
space group: P6_3mc (186)
VASP energy: -3.871 eV per atom